Here is an optimized crystal structure of LiMgUS4 from Alexandria. Energies are from PBE.

Lattice parameters (Å, degrees): 7.5894 7.5977 7.5977 63.97 60.04 60.04
Atoms (fractional coordinates):
Li  0.6485  0.6015  0.1015
U  0.0000  0.5000  0.5000
Mg  0.5000  0.0000  0.5000
S  0.7646  0.2556  0.7556
S  0.2454  0.2270  0.2822
S  0.7546  0.7730  0.7178
S  0.7758  0.7444  0.2444
Mg  0.0000  0.0000  0.5000
S  0.2242  0.2556  0.7556
S  0.7546  0.2178  0.2730
Li  0.3515  0.3985  0.8985
U  0.0000  0.0000  0.0000
S  0.2454  0.7822  0.7270
S  0.2354  0.7444  0.2444

Space group: Imma, No. 74
Uncorrected energy (eV/atom): -5.798
Volume (Å³/atom): 22.73
ΔE_f (raw) (eV per formula unit): -9.28
Spin magnetization (μB per formula unit): 1.00